Compound: BeWO2F
Source: the Alexandria database
Functional: GGA+U
Structure: relaxed

The structure in POSCAR format:
```
BeWO2F
1.0
-2.8754 -0.8408 -2.7064
0.0025 -3.8562 1.1954
-2.9476 0.8838 2.8571
Be W F O
1 1 1 2
Cartesian
-2.9103 -1.9066 0.6730
0.0000 0.0000 0.0000
-1.4738 0.4419 1.4285
0.0012 -1.9281 0.5977
-1.4377 -0.4204 -1.3532
```

Results
Uncorrected energy = -5.53 eV per atom
Calculated density = 5.92 g/cm3
Magnetic moment = 2.7 μB/f.u.

=====

Compound: BeWO2F
Source: the Alexandria database
Functional: GGA+U
Structure: relaxed

The structure in POSCAR format:
```
BeWO2F
1.0
-1.5268 1.7538 2.8840
-1.3881 -3.2115 1.2182
2.7519 -0.5175 1.7715
O W Be F
2 1 1 1
Cartesian
-0.7634 0.8769 1.4420
-0.6940 -1.6058 0.6091
-0.0815 -0.9876 2.9369
0.0000 0.0000 0.0000
1.3759 -0.2587 0.8858
```

Results
Uncorrected energy = -6.08 eV per atom
Calculated density = 8.90 g/cm3
Magnetic moment = 3.0 μB/f.u.